A relaxed structure of CaCo3Hg, computed with PBE-GGA.

Cell lengths 4.5593, 4.5593, 4.5593 Å; angles 90.00, 90.00, 90.00 degrees
Last column: nearest neighbours and their distance in Å.
Fractional positions:
Ca  0.0000  0.0000  0.0000  6 Co 2.28
Co  0.0000  0.5000  0.0000  2 Ca 2.28
Co  0.0000  0.0000  0.5000  2 Ca 2.28
Co  0.5000  0.0000  0.0000  2 Ca 2.28
Hg  0.5000  0.5000  0.5000  12 Co 3.22

Computed properties:
Symmetry: Pm-3m, No. 221
Calculated formation energy: 1.747 eV per atom
Excess energy over the best structure of this formula in the dataset: 606 meV per atom